1.
Material: YCoSnHg
Method: DFT, PBE-GGA
State: optimized geometry

Results
The value obtained for the total energy is -18.16 eV/f.u.

```
YCoSnHg
1.0
0.000 3.458 3.458
3.458 0.000 3.458
3.458 3.458 0.000
Y Co Sn Hg
1 1 1 1
Direct
0.000 0.000 0.000 Y
0.500 0.500 0.500 Co
0.250 0.250 0.250 Sn
0.750 0.750 0.750 Hg
```

=====

2.
Material: ZnCoSnHg
Method: DFT, PBE-GGA
State: optimized geometry

Results
The value obtained for the total energy is -11.20 eV/f.u.

```
ZnCoSnHg
1.0
0.000 3.296 3.296
3.296 0.000 3.296
3.296 3.296 0.000
Zn Co Sn Hg
1 1 1 1
Direct
0.000 0.000 0.000 Zn
0.500 0.500 0.500 Co
0.250 0.250 0.250 Sn
0.750 0.750 0.750 Hg
```